Record 1
VASP calculation (PBE-GGA) on Cs2MgTlI5 after structural relaxation.

Lattice parameters (Å, degrees): 5.7368 8.4364 18.1807 90.00 90.00 90.00
With the nearest neighbours (Å) after each atom.
Space group Immm (No. 71)
Asymmetric unit:
Cs (0.0000, 0.0000, 0.2060) (multiplicity 4)  7 I 3.74-3.95
Mg (0.0000, 0.5000, 0.5000) (multiplicity 2)  6 I 2.87-2.98
Tl (0.0000, 0.5000, 0.0000) (multiplicity 2)  10 I 4.11-4.22
I (0.0000, 0.0000, 0.0000) (multiplicity 2)  2 Mg 2.87
I (0.0000, 0.2470, 0.3859) (multiplicity 8)  1 Mg 2.98

Output
calculated volume	440.0	Å³/f.u.
formation energy without anion corrections	-1119	meV/atom
size of the total moment	0.000	μB/cell
theoretical density	4.261	g/cm3

---

Record 2
VASP calculation (PBE-GGA) on Cs2GaAu2 after structural relaxation.

Lattice parameters (Å, degrees): 7.6630 7.6630 5.7138 90.00 90.00 90.00
With the nearest neighbours (Å) after each atom.
Space group P4/mbm (No. 127)
Asymmetric unit:
Cs (0.1731, 0.3269, 0.0000) (multiplicity 4)  6 Au 3.50-3.74, 1 Cs 3.75
Ga (0.0000, 0.0000, 0.5000) (multiplicity 2)  4 Au 2.96
Au (0.1398, 0.6398, 0.5000) (multiplicity 4)  2 Ga 2.96, 1 Au 3.03

Output
calculated volume	167.8	Å³/f.u.
formation energy	-100	meV/atom
offset from the most stable computed form	172.7	meV/atom
size of the total moment	0.806	μB/cell
theoretical density	7.220	g/cm3

---

Record 3
VASP calculation (PBE-GGA) on Na2IrPb2 after structural relaxation.

Lattice parameters (Å, degrees): 7.1531 7.1531 5.2628 90.00 90.00 90.00
With the nearest neighbours (Å) after each atom.
Space group P4/mbm (No. 127)
Asymmetric unit:
Na (0.1733, 0.3267, 0.0000) (multiplicity 4)  6 Pb 3.15-3.53, 1 Na 3.51
Ir (0.0000, 0.0000, 0.5000) (multiplicity 2)  4 Pb 2.71
Pb (0.1551, 0.6551, 0.5000) (multiplicity 4)  2 Ir 2.71

Output
calculated volume	134.6	Å³/f.u.
formation energy	124	meV/atom
size of the total moment	0.000	μB/cell
theoretical density	8.049	g/cm3

---

Record 4
VASP calculation (PBE-GGA) on Pr3SmDy after structural relaxation.

Lattice parameters (Å, degrees): 5.5725 7.1543 9.1337 90.00 107.66 90.00
With the nearest neighbours (Å) after each atom.
Space group P2_1/m (No. 11)
Asymmetric unit:
Pr (0.1046, 0.0019, 0.2085) (multiplicity 4)  6 Pr 3.55-3.87, 3 Sm 3.68-3.89, 4 Dy 3.76-3.79
Pr (0.3016, 0.2500, 0.6037) (multiplicity 2)  4 Sm 3.32-3.58, 1 Dy 3.45, 4 Pr 3.70
Sm (0.3020, 0.7500, 0.6044) (multiplicity 2)  8 Pr 3.32-3.68, 1 Dy 3.44
Dy (0.5001, 0.2500, 0.0003) (multiplicity 2)  1 Sm 3.44, 9 Pr 3.45-3.79, 2 Dy 3.58

Output
calculated volume	173.5	Å³/f.u.
formation energy	60	meV/atom
offset from the most stable computed form	0.0	meV/atom
size of the total moment	0.000	μB/cell
theoretical density	7.040	g/cm3

---

Record 5
VASP calculation (PBE-GGA) on Ca3Pm4Se8 after structural relaxation.

Lattice parameters (Å, degrees): 11.8360 11.8624 8.3841 90.00 134.79 90.00
With the nearest neighbours (Å) after each atom.
Space group C2/m (No. 12)
Asymmetric unit:
Ca (0.0000, 0.0000, 0.0000) (multiplicity 2)  6 Se 2.95-2.97
Ca (0.2500, 0.2500, 0.0000) (multiplicity 4)  6 Se 2.96-2.98
Pm (0.0000, 0.5000, 0.0000) (multiplicity 2)  6 Se 2.95-2.98
Pm (0.0000, 0.5000, 0.5000) (multiplicity 2)  6 Se 2.95-2.98
Pm (0.2500, 0.2500, 0.5000) (multiplicity 4)  6 Se 2.96-2.98
Se (0.0000, 0.2490, 0.0000) (multiplicity 4)  3 Ca 2.95-2.96, 3 Pm 2.98
Se (0.0000, 0.2499, 0.5000) (multiplicity 4)  3 Pm 2.96-2.97, 2 Ca 2.98
Se (0.2467, 0.5000, 0.9954) (multiplicity 4)  2 Pm 2.95, 3 Ca 2.97
Se (0.2483, 0.0000, 0.4995) (multiplicity 4)  4 Pm 2.97-2.98, 1 Ca 2.97

Output
calculated volume	417.7	Å³/f.u.
formation energy without anion corrections	-1925	meV/atom
size of the total moment	0.000	μB/cell
theoretical density	5.295	g/cm3

---

Record 6
VASP calculation (PBE-GGA) on AcTb2Pm after structural relaxation.

Lattice parameters (Å, degrees): 3.7292 3.7292 10.2336 90.00 90.00 90.00
With the nearest neighbours (Å) after each atom.
Space group P4/mmm (No. 123)
Asymmetric unit:
Ac (0.0000, 0.0000, 0.0000) (multiplicity 1)  4 Ac 3.73, 8 Tb 3.76
Tb (0.5000, 0.5000, 0.2614) (multiplicity 2)  4 Pm 3.59, 4 Tb 3.73, 4 Ac 3.76
Pm (0.0000, 0.0000, 0.5000) (multiplicity 1)  8 Tb 3.59, 4 Pm 3.73

Output
calculated volume	142.3	Å³/f.u.
formation energy	47	meV/atom
offset from the most stable computed form	4.2	meV/atom
size of the total moment	0.000	μB/cell
theoretical density	8.049	g/cm3